[1]
K2NaCrF6 after structural relaxation, computed with PBEsol.

a = 8.2403 Å, b = 8.2403 Å, c = 8.2403 Å
α = 90.00°, β = 90.00°, γ = 90.00°
Closest atoms and distances in Å follow each position.
Space group Fm-3m (No. 225)
One atom of each set of equivalent atoms:
K 0.2500 0.2500 0.2500 [8 per cell]  12 F 2.92
Na 0.0000 0.0000 0.0000 [4 per cell]  6 F 2.21
Cr 0.0000 0.0000 0.5000 [4 per cell]  6 F 1.91
F 0.0000 0.0000 0.2688 [24 per cell]  1 Cr 1.91

Output
* VASP energy: -5.38 eV/atom
* DOS(E_F): 0.000 states/eV per atom
* formation energy without anion corrections: -2.83 eV/atom

=====

[2]
RbMnAl2Se after structural relaxation, computed with PBEsol.

a = 5.0779 Å, b = 5.0779 Å, c = 5.9926 Å
α = 90.00°, β = 90.00°, γ = 90.00°
Closest atoms and distances in Å follow each position.
Space group P4/mmm (No. 123)
One atom of each set of equivalent atoms:
Rb 0.0000 0.0000 0.0000 [1 per cell]  2 Se 3.00
Mn 0.5000 0.5000 0.0000 [1 per cell]  4 Rb 3.59, 8 Al 3.93
Al 0.0000 0.5000 0.5000 [2 per cell]  2 Se 2.54
Se 0.0000 0.0000 0.5000 [1 per cell]  4 Al 2.54

Output
* VASP energy: -3.69 eV/atom
* DOS(E_F): 0.834 states/eV per atom
* formation energy without anion corrections: 0.87 eV/atom

=====

[3]
YAl4Te after structural relaxation, computed with PBEsol.

a = 7.8189 Å, b = 7.8189 Å, c = 7.8189 Å
α = 90.00°, β = 90.00°, γ = 90.00°
Closest atoms and distances in Å follow each position.
Space group F-43m (No. 216)
One atom of each set of equivalent atoms:
Y 0.0000 0.0000 0.0000 [4 per cell]  12 Al 3.24, 4 Te 3.39
Al 0.1267 0.1267 0.3733 [16 per cell]  6 Al 2.73-2.80
Te 0.2500 0.2500 0.7500 [4 per cell]  12 Al 3.25, 4 Y 3.39

Output
* VASP energy: -4.69 eV/atom
* DOS(E_F): 0.749 states/eV per atom
* formation energy without anion corrections: -0.24 eV/atom

=====

[4]
CoP2RuS after structural relaxation, computed with PBEsol.

a = 4.1390 Å, b = 4.1390 Å, c = 4.3465 Å
α = 90.00°, β = 90.00°, γ = 90.00°
Closest atoms and distances in Å follow each position.
Space group P4/mmm (No. 123)
One atom of each set of equivalent atoms:
Co 0.0000 0.0000 0.0000 [1 per cell]  4 P 2.07, 2 S 2.17
P 0.0000 0.5000 0.0000 [2 per cell]  2 Co 2.07
Ru 0.5000 0.5000 0.5000 [1 per cell]  4 S 2.93, 8 P 3.00
S 0.0000 0.0000 0.5000 [1 per cell]  2 Co 2.17

Output
* VASP energy: -6.05 eV/atom
* DOS(E_F): 0.723 states/eV per atom
* formation energy without anion corrections: 0.72 eV/atom

=====

[5]
K3V5S10 after structural relaxation, computed with PBEsol.

a = 5.6430 Å, b = 8.6439 Å, c = 8.6548 Å
α = 107.38°, β = 102.65°, γ = 108.77°
Closest atoms and distances in Å follow each position.
Space group P1 (No. 1)
One atom of each set of equivalent atoms:
K 0.0000 0.0000 0.0000 [1 per cell]  5 S 3.01-3.16
K 0.1922 0.6285 0.9917 [1 per cell]  6 S 3.00-3.24
K 0.6179 0.2576 0.9695 [1 per cell]  5 S 3.01-3.18
V 0.1161 0.8101 0.4876 [1 per cell]  6 S 2.29-2.44
V 0.3263 0.2677 0.4892 [1 per cell]  4 S 2.22-2.36
V 0.5190 0.6286 0.4876 [1 per cell]  6 S 2.35-2.40
V 0.6812 0.9822 0.4824 [1 per cell]  6 S 2.25-2.51
V 0.8950 0.4389 0.4843 [1 per cell]  6 S 2.30-2.48
S 0.0781 0.5454 0.2981 [1 per cell]  3 V 2.29-2.40
S 0.1301 0.0990 0.6510 [1 per cell]  3 V 2.33-2.49
S 0.2815 0.9598 0.3186 [1 per cell]  3 V 2.30-2.53
S 0.3478 0.5151 0.6777 [1 per cell]  3 V 2.22-2.48
S 0.4697 0.3551 0.2909 [1 per cell]  3 V 2.27-2.35
S 0.5394 0.8975 0.6817 [1 per cell]  3 V 2.27-2.38
S 0.6814 0.7387 0.2940 [1 per cell]  3 V 2.25-2.41
S 0.7339 0.2906 0.6529 [1 per cell]  3 V 2.33-2.51
S 0.8719 0.1524 0.3193 [1 per cell]  3 V 2.36-2.49
S 0.9464 0.7058 0.6790 [1 per cell]  3 V 2.30-2.36

Output
* VASP energy: -6.40 eV/atom
* DOS(E_F): 0.248 states/eV per atom
* formation energy without anion corrections: -1.10 eV/atom

=====

[6]
ZrBeCd after structural relaxation, computed with PBEsol.

a = 3.7699 Å, b = 15.4922 Å, c = 3.4584 Å
α = 90.00°, β = 90.00°, γ = 90.00°
Closest atoms and distances in Å follow each position.
Space group Cmcm (No. 63)
One atom of each set of equivalent atoms:
Zr 0.0000 0.0844 0.2500 [4 per cell]  6 Be 2.66-2.68
Be 0.0000 0.4617 0.2500 [4 per cell]  2 Be 2.10
Cd 0.0000 0.2980 0.2500 [4 per cell]  1 Be 2.54

Output
* energy relative to the lowest polymorph listed for this composition: 0 meV per atom
* VASP energy: -4.94 eV/atom
* DOS(E_F): 0.382 states/eV per atom
* formation enthalpy at 0 K: -0.181 eV per atom